11
Lattice="0.097 4.419 -3.399 -2.641 -5.314 -6.985 0.190 12.364 20.654" Properties=species:S:1:pos:R:3 comment="Dy2Ho4Tm5, relaxed, DFT PBE-GGA" final_energy_ev_per_cell=-48.8 ef_kcal_per_mol_atoms=2.29 crystal_system=monoclinic e_above_lowest_polymorph_mev_per_atom=0 pbc="T T T"
Dy -0.333 10.811 14.046
Dy -2.021 0.658 -3.776
Ho -0.844 7.172 9.301
Ho -2.375 9.991 8.348
Ho -1.509 4.297 0.970
Ho 0.021 1.478 1.922
Tm -0.125 11.568 10.463
Tm -2.228 -0.099 -0.192
Tm -1.045 8.040 5.850
Tm 0.049 2.210 -1.700
Tm -1.309 3.429 4.421

---

12
Lattice="-2.505 0.441 2.484 -4.015 -1.702 -3.747 4.346 -16.732 7.355" Properties=species:S:1:pos:R:3 comment="Dy7Ho2Tm3, relaxed, DFT PBE-GGA" final_energy_ev_per_cell=-52.9 ef_kcal_per_mol_atoms=3.59 crystal_system=orthorhombic e_above_lowest_polymorph_mev_per_atom=0 pbc="T T T"
Dy 1.999 -15.033 4.687
Dy -0.933 -8.936 0.647
Dy 0.000 0.000 0.000
Dy -1.669 -3.400 -1.078
Dy -0.826 -2.986 2.242
Dy -1.348 -15.006 3.850
Dy 1.263 -9.498 2.961
Ho -0.494 -12.237 1.676
Ho 0.824 -6.196 1.932
Tm -3.260 -0.630 -0.631
Tm -2.557 -5.920 1.018
Tm 0.382 -12.072 5.074

---

4
Lattice="4.969 0.000 0.000 0.000 4.976 0.000 0.000 0.000 4.976" Properties=species:S:1:pos:R:3 comment="Dy2HoTm, relaxed, DFT PBE-GGA" final_energy_ev_per_cell=-18.2 ef_kcal_per_mol_atoms=0.52 crystal_system=tetragonal e_above_lowest_polymorph_mev_per_atom=20 pbc="T T T"
Tm 2.485 0.000 0.000
Ho 2.485 2.488 2.488
Dy 0.000 0.000 2.488
Dy 0.000 2.488 0.000

---

11
Lattice="-0.650 -2.657 2.166 -4.472 -5.515 -8.108 10.548 -0.955 1.995" Properties=species:S:1:pos:R:3 comment="DyHo6Tm4, relaxed, DFT PBE-GGA" final_energy_ev_per_cell=-48.1 ef_kcal_per_mol_atoms=3.78 crystal_system=hexagonal e_above_lowest_polymorph_mev_per_atom=35 pbc="T T T"
Dy 0.000 0.000 0.000
Ho -1.956 -2.883 -4.123
Ho 5.459 -5.616 -2.440
Ho 2.785 -3.312 -3.226
Ho 0.775 -5.791 -6.871
Ho 7.487 -3.114 1.238
Ho 2.703 -2.681 0.333
Tm 3.053 -6.593 -4.361
Tm -0.065 -3.274 -1.225
Tm -2.359 -6.104 -5.385
Tm 5.541 -2.475 -1.373

---

11
Lattice="4.677 0.000 0.000 0.000 4.677 0.000 -2.339 -2.339 16.421" Properties=species:S:1:pos:R:3 comment="Dy3Ho6Tm2, relaxed, DFT PBE-GGA" final_energy_ev_per_cell=-47.0 ef_kcal_per_mol_atoms=6.73 crystal_system=tetragonal e_above_lowest_polymorph_mev_per_atom=270 pbc="T T T"
Dy 0.000 0.000 0.000
Dy 2.339 2.339 9.850
Dy 0.000 0.000 6.571
Ho 0.000 2.339 3.967
Ho 2.339 0.000 3.967
Ho 2.339 0.000 12.455
Ho 0.000 2.339 12.455
Ho 2.339 2.339 6.439
Ho 0.000 0.000 9.982
Tm 0.000 0.000 14.910
Tm 2.339 2.339 1.511

---

12
Lattice="6.083 0.086 -0.219 -0.185 6.546 -2.578 0.345 -0.108 9.308" Properties=species:S:1:pos:R:3 comment="Dy3Ho2Tm, relaxed, DFT PBE-GGA" final_energy_ev_per_cell=-54.6 ef_kcal_per_mol_atoms=0.48 crystal_system=monoclinic e_above_lowest_polymorph_mev_per_atom=19 pbc="T T T"
Dy 1.451 2.474 -1.021
Dy 4.447 4.158 -1.777
Dy 0.563 1.877 2.327
Dy 2.592 6.239 3.649
Dy 3.651 0.285 2.861
Dy 5.680 4.647 4.183
Ho 3.563 3.558 1.575
Ho 0.475 5.152 1.040
Ho 5.768 1.372 5.471
Ho 2.680 2.966 4.936
Tm 4.539 0.881 -0.486
Tm 1.359 5.750 -2.311

---

Question: What is the formula in the fifth record?
Answer: Dy3Ho6Tm2

---

What did the fifth record say?
11
Lattice="4.677 0.000 0.000 0.000 4.677 0.000 -2.339 -2.339 16.421" Properties=species:S:1:pos:R:3 comment="Dy3Ho6Tm2, relaxed, DFT PBE-GGA" final_energy_ev_per_cell=-47.0 ef_kcal_per_mol_atoms=6.73 crystal_system=tetragonal e_above_lowest_polymorph_mev_per_atom=270 pbc="T T T"
Dy 0.000 0.000 0.000
Dy 2.339 2.339 9.850
Dy 0.000 0.000 6.571
Ho 0.000 2.339 3.967
Ho 2.339 0.000 3.967
Ho 2.339 0.000 12.455
Ho 0.000 2.339 12.455
Ho 2.339 2.339 6.439
Ho 0.000 0.000 9.982
Tm 0.000 0.000 14.910
Tm 2.339 2.339 1.511